(1)
Below is a relaxed Tb6PmNd2Er3 crystal, with properties calculated at the PBE level.

Geometry as extended XYZ:
```
12
Lattice="3.097 -5.361 0.000 3.097 5.361 0.000 -2.056 0.000 11.661" Properties=species:S:1:pos:R:3 pbc="T T T"
Tb 0.011 1.786 8.799
Tb 1.029 0.000 2.861
Tb 0.011 -1.786 8.799
Tb 4.127 1.786 2.862
Tb 3.110 0.000 8.800
Tb 4.127 -1.786 2.862
Pm -1.028 0.000 5.831
Nd 2.069 1.786 5.831
Nd 2.069 -1.786 5.831
Er 3.097 3.574 0.000
Er 3.097 0.000 0.000
Er 3.097 -3.574 0.000
```

Computed properties:
- E (eV/atom) = -4.63
- total magnetic moment (μB per formula unit) = 0.0
- theoretical density (Mg/m³) = 8.1

(2)
Below is a relaxed Ac2MgCo3Ge4 crystal, with properties calculated at the PBE level.

Geometry as extended XYZ:
```
10
Lattice="4.324 0.000 0.000 0.000 4.324 0.000 0.000 0.000 10.345" Properties=species:S:1:pos:R:3 pbc="T T T"
Ac 0.000 2.162 2.447
Ac 2.162 0.000 7.899
Mg 0.000 0.000 5.173
Co 0.000 2.162 9.169
Co 2.162 0.000 1.176
Co 2.162 2.162 5.173
Ge 0.000 0.000 0.000
Ge 0.000 2.162 6.712
Ge 2.162 0.000 3.633
Ge 2.162 2.162 0.000
```

Computed properties:
- E (eV/atom) = -5.40
- total magnetic moment (μB per formula unit) = 1.1
- theoretical density (Mg/m³) = 8.1

(3)
Below is a relaxed MnIn2Ru2 crystal, with properties calculated at the PBE level.

Geometry as extended XYZ:
```
10
Lattice="3.491 0.000 0.000 0.000 3.491 0.000 0.000 0.000 15.123" Properties=species:S:1:pos:R:3 pbc="T T T"
Mn 0.000 0.000 0.000
Mn 1.745 1.745 7.561
In 0.000 0.000 6.082
In 0.000 0.000 9.040
In 1.745 1.745 1.479
In 1.745 1.745 13.644
Ru 0.000 1.745 3.781
Ru 0.000 1.745 11.342
Ru 1.745 0.000 3.781
Ru 1.745 0.000 11.342
```

Computed properties:
- E (eV/atom) = -5.80
- total magnetic moment (μB per formula unit) = 0.4
- ΔE to the lowest computed polymorph (meV/atom) = 511.6
- theoretical density (Mg/m³) = 8.8

(4)
Below is a relaxed Tm2Zr2Ge3 crystal, with properties calculated at the PBE level.

Geometry as extended XYZ:
```
7
Lattice="3.811 0.000 0.000 -1.903 6.480 0.000 0.000 -1.095 6.829" Properties=species:S:1:pos:R:3 pbc="T T T"
Tm 0.002 1.137 2.632
Tm 1.906 4.247 4.197
Zr 0.003 4.700 0.766
Zr 1.905 0.684 6.063
Ge 0.000 0.000 0.000
Ge 0.000 2.400 5.150
Ge 1.908 2.984 1.679
```

Computed properties:
- E (eV/atom) = -6.27
- total magnetic moment (μB per formula unit) = 0.0
- theoretical density (Mg/m³) = 7.3

(5)
Below is a relaxed NdGe2Pd8 crystal, with properties calculated at the PBE level.

Geometry as extended XYZ:
```
11
Lattice="3.810 -5.631 0.000 3.810 5.631 0.000 -1.331 0.000 4.434" Properties=species:S:1:pos:R:3 pbc="T T T"
Nd 0.000 0.000 0.000
Ge 3.145 2.041 2.217
Ge 3.145 -2.041 2.217
Pd 0.707 1.446 2.633
Pd 3.810 2.799 0.000
Pd 0.707 -1.446 2.633
Pd 2.767 0.000 0.837
Pd 3.523 0.000 3.597
Pd 5.582 1.446 1.800
Pd 3.810 -2.799 0.000
Pd 5.582 -1.446 1.800
```

Computed properties:
- E (eV/atom) = -5.55
- total magnetic moment (μB per formula unit) = 0.0
- theoretical density (Mg/m³) = 10.0

(6)
Below is a relaxed Er4MgTl2 crystal, with properties calculated at the PBE level.

Geometry as extended XYZ:
```
14
Lattice="6.722 0.000 0.000 3.341 7.840 0.000 3.345 0.541 7.850" Properties=species:S:1:pos:R:3 pbc="T T T"
Er 3.341 3.072 2.597
Er 6.691 6.984 6.828
Er 4.953 6.148 2.085
Er 4.961 2.236 5.769
Er 8.448 6.145 2.081
Er 8.455 2.234 5.765
Er 6.717 1.398 1.022
Er 10.068 5.310 5.254
Mg 6.696 8.039 3.869
Mg 6.713 0.342 3.982
Tl 1.670 3.920 0.000
Tl 3.361 0.000 0.000
Tl 5.032 3.920 0.000
Tl 6.704 4.191 3.925
```

Computed properties:
- E (eV/atom) = -3.54
- total magnetic moment (μB per formula unit) = 0.0
- ΔE to the lowest computed polymorph (meV/atom) = 117.0
- theoretical density (Mg/m³) = 8.8

(7)
Below is a relaxed PrEr2Ru9 crystal, with properties calculated at the PBE level.

Geometry as extended XYZ:
```
12
Lattice="2.653 1.532 8.649 -2.653 1.532 8.649 0.000 -3.063 8.649" Properties=species:S:1:pos:R:3 pbc="T T T"
Pr 0.000 0.000 0.000
Er 0.000 0.000 3.628
Er 0.000 0.000 22.319
Ru -1.376 -0.794 10.826
Ru 0.000 0.000 8.793
Ru 0.000 -1.589 15.120
Ru -1.376 0.794 15.120
Ru 0.000 0.000 12.973
Ru 1.376 -0.794 10.826
Ru 0.000 1.589 10.826
Ru 0.000 0.000 17.153
Ru 1.376 0.794 15.120
```

Computed properties:
- E (eV/atom) = -8.24
- total magnetic moment (μB per formula unit) = 0.0
- theoretical density (Mg/m³) = 10.9

(8)
Below is a relaxed TbPm15Sc4 crystal, with properties calculated at the PBE level.

Geometry as extended XYZ:
```
20
Lattice="5.047 0.000 0.000 0.000 5.047 0.000 0.000 0.000 25.151" Properties=species:S:1:pos:R:3 pbc="T T T"
Tb 0.000 0.000 0.000
Pm 0.000 2.523 2.596
Pm 0.000 2.523 7.582
Pm 0.000 2.523 12.575
Pm 0.000 2.523 17.569
Pm 0.000 2.523 22.555
Pm 2.523 0.000 2.596
Pm 2.523 0.000 7.582
Pm 2.523 0.000 12.575
Pm 2.523 0.000 17.569
Pm 2.523 0.000 22.555
Pm 2.523 2.523 0.000
Pm 2.523 2.523 5.094
Pm 2.523 2.523 10.077
Pm 2.523 2.523 15.073
Pm 2.523 2.523 20.057
Sc 0.000 0.000 5.088
Sc 0.000 0.000 10.077
Sc 0.000 0.000 15.074
Sc 0.000 0.000 20.062
```

Computed properties:
- E (eV/atom) = -5.03
- total magnetic moment (μB per formula unit) = 0.0
- theoretical density (Mg/m³) = 6.5

(9)
Below is a relaxed Cs2MgHg crystal, with properties calculated at the PBE level.

Geometry as extended XYZ:
```
4
Lattice="6.758 0.000 0.000 0.000 6.758 0.000 0.000 0.000 4.662" Properties=species:S:1:pos:R:3 pbc="T T T"
Cs 0.000 3.379 0.000
Cs 3.379 0.000 0.000
Mg 0.000 0.000 2.331
Hg 3.379 3.379 2.331
```

Computed properties:
- E (eV/atom) = -0.83
- total magnetic moment (μB per formula unit) = 0.0
- ΔE to the lowest computed polymorph (meV/atom) = 0.0
- theoretical density (Mg/m³) = 3.8

(10)
Below is a relaxed CeDyPu2 crystal, with properties calculated at the PBE level.

Geometry as extended XYZ:
```
16
Lattice="7.681 0.000 0.000 0.000 7.681 0.000 0.000 0.000 7.681" Properties=species:S:1:pos:R:3 pbc="T T T"
Ce 0.000 0.000 0.000
Ce 0.000 3.841 3.841
Ce 3.841 0.000 3.841
Ce 3.841 3.841 0.000
Dy 0.000 0.000 3.841
Dy 0.000 3.841 0.000
Dy 3.841 0.000 0.000
Dy 3.841 3.841 3.841
Pu 1.920 1.920 1.920
Pu 1.920 1.920 5.761
Pu 1.920 5.761 1.920
Pu 1.920 5.761 5.761
Pu 5.761 1.920 1.920
Pu 5.761 1.920 5.761
Pu 5.761 5.761 1.920
Pu 5.761 5.761 5.761
```

Computed properties:
- E (eV/atom) = -9.58
- total magnetic moment (μB per formula unit) = 14.0
- ΔE to the lowest computed polymorph (meV/atom) = 72.6
- theoretical density (Mg/m³) = 11.6

(11)
Below is a relaxed CoSiRh2Cl crystal, with properties calculated at the PBE level.

Geometry as extended XYZ:
```
5
Lattice="4.630 0.000 0.000 0.000 4.630 0.000 0.000 0.000 4.094" Properties=species:S:1:pos:R:3 pbc="T T T"
Co 0.000 0.000 0.000
Si 2.315 2.315 2.047
Rh 0.000 2.315 0.000
Rh 2.315 0.000 0.000
Cl 0.000 0.000 2.047
```

Computed properties:
- raw formation energy (eV per atom) = 0.923
- E (eV/atom) = -4.89
- total magnetic moment (μB per formula unit) = 2.3
- theoretical density (Mg/m³) = 6.2

(12)
Below is a relaxed Pr4Sm15Sc crystal, with properties calculated at the PBE level.

Geometry as extended XYZ:
```
20
Lattice="5.137 0.000 0.000 0.000 5.137 0.000 0.000 0.000 25.626" Properties=species:S:1:pos:R:3 pbc="T T T"
Pr 0.000 0.000 2.596
Pr 0.000 0.000 7.774
Pr 0.000 0.000 17.852
Pr 0.000 0.000 23.030
Sm 0.000 2.569 0.000
Sm 0.000 2.569 5.189
Sm 0.000 2.569 10.378
Sm 0.000 2.569 15.248
Sm 0.000 2.569 20.437
Sm 2.569 0.000 0.000
Sm 2.569 0.000 5.189
Sm 2.569 0.000 10.378
Sm 2.569 0.000 15.248
Sm 2.569 0.000 20.437
Sm 2.569 2.569 2.591
Sm 2.569 2.569 7.793
Sm 2.569 2.569 12.813
Sm 2.569 2.569 17.833
Sm 2.569 2.569 23.035
Sc 0.000 0.000 12.813
```

Computed properties:
- E (eV/atom) = -4.79
- total magnetic moment (μB per formula unit) = 0.0
- theoretical density (Mg/m³) = 7.0